The following is a PBEsol calculation of a relaxed CaTaRu crystal, from the Alexandria database.

The space group is I4mm (No. 107) and the conventional cell measures 3.229, 3.229 and 11.462 Å, with angles of 90.00, 90.00 and 90.00 degrees. Symmetry generates all atoms from Ca at (0.000, 0.000, 0.000), Ta at (0.000, 0.000, 0.712) and Ru at (0.000, 0.000, 0.316).

The energy above the most stable polymorph in this dataset comes out at 0.000 eV/f.u. The calculation puts the calculated formation energy at 0.5 eV per formula unit. Its total energy is -48.7 eV for the cell shown. Its density of states at the Fermi level is 1.208 states/eV per atom.



The following is a PBEsol calculation of a relaxed CaTaRu3 crystal, from the Alexandria database.

The space group is Pm-3m (No. 221) and the conventional cell measures 4.702, 4.702 and 4.702 Å, with angles of 90.00, 90.00 and 90.00 degrees. Symmetry generates all atoms from Ca at (0.000, 0.000, 0.000), Ta at (0.500, 0.500, 0.500) and Ru at (0.000, 0.500, 0.500).

The energy above the most stable polymorph in this dataset comes out at 0.000 eV/f.u. The calculation puts the calculated formation energy at 5.1 eV per formula unit. Its total energy is -40.1 eV for the cell shown. Its density of states at the Fermi level is 1.811 states/eV per atom.



The following is a PBEsol calculation of a relaxed Ca2TaRu crystal, from the Alexandria database.

The space group is I4/mmm (No. 139) and the conventional cell measures 3.897, 3.897 and 10.309 Å, with angles of 90.00, 90.00 and 90.00 degrees. Symmetry generates all atoms from Ca at (0.000, 0.500, 0.250), Ta at (0.000, 0.000, 0.000) and Ru at (0.000, 0.000, 0.500).

The energy above the most stable polymorph in this dataset comes out at 1.775 eV/f.u. The calculation puts the calculated formation energy at 2.3 eV per formula unit. Its total energy is -49.5 eV for the cell shown. Its density of states at the Fermi level is 0.575 states/eV per atom.



The following is a PBEsol calculation of a relaxed CaTaRu crystal, from the Alexandria database.

The space group is F-43m (No. 216) and the conventional cell measures 6.247, 6.247 and 6.247 Å, with angles of 90.00, 90.00 and 90.00 degrees. Symmetry generates all atoms from Ca at (0.000, 0.000, 0.000), Ta at (0.250, 0.250, 0.250) and Ru at (0.000, 0.000, 0.500).

The energy above the most stable polymorph in this dataset comes out at 2.303 eV/f.u. The calculation puts the calculated formation energy at 2.8 eV per formula unit. Its total energy is -88.2 eV for the cell shown. Its density of states at the Fermi level is 1.003 states/eV per atom.



The following is a PBEsol calculation of a relaxed CaTa2Ru crystal, from the Alexandria database.

The space group is R-3m (No. 166, hexagonal axes) and the conventional cell measures 2.9594, 2.9594 and 29.4626 Å, with angles of 90.00, 90.00 and 120.00 degrees. Symmetry generates all atoms from Ca at (0.0000, 0.0000, 0.0000), Ta at (0.0000, 0.0000, 0.2379) and Ru at (0.0000, 0.0000, 0.5000).

The energy above the most stable polymorph in this dataset comes out at 0.203 eV/f.u. The calculation puts the calculated formation energy at 1.8 eV per formula unit. Its total energy is -106.8 eV for the cell shown. Its density of states at the Fermi level is 1.055 states/eV per atom.



The following is a PBEsol calculation of a relaxed CaTa2Ru crystal, from the Alexandria database.

The space group is F-43m (No. 216) and the conventional cell measures 6.577, 6.577 and 6.577 Å, with angles of 90.00, 90.00 and 90.00 degrees. Symmetry generates all atoms from Ca at (0.000, 0.000, 0.000), Ta at (0.000, 0.000, 0.500), Ta at (0.250, 0.250, 0.750) and Ru at (0.250, 0.250, 0.250).

The energy above the most stable polymorph in this dataset comes out at 0.585 eV/f.u. The calculation puts the calculated formation energy at 2.2 eV per formula unit. Its total energy is -140.9 eV for the cell shown. Its density of states at the Fermi level is 1.195 states/eV per atom.



The following is a PBEsol calculation of a relaxed CaTa4Ru crystal, from the Alexandria database.

The space group is F-43m (No. 216) and the conventional cell measures 7.688, 7.688 and 7.688 Å, with angles of 90.00, 90.00 and 90.00 degrees. Symmetry generates all atoms from Ca at (0.000, 0.000, 0.000), Ta at (0.125, 0.125, 0.625) and Ru at (0.250, 0.250, 0.250).

The calculation puts the calculated formation energy at 3.2 eV per formula unit. Its total energy is -237.1 eV for the cell shown. Its density of states at the Fermi level is 1.228 states/eV per atom.



The following is a PBEsol calculation of a relaxed Ca2TaRu crystal, from the Alexandria database.

The space group is P4/mmm (No. 123) and the conventional cell measures 2.894, 2.894 and 9.769 Å, with angles of 90.00, 90.00 and 90.00 degrees. Symmetry generates all atoms from Ca at (0.000, 0.000, 0.223), Ta at (0.500, 0.500, 0.500) and Ru at (0.500, 0.500, 0.000).

The energy above the most stable polymorph in this dataset comes out at 2.412 eV/f.u. The calculation puts the calculated formation energy at 2.9 eV per formula unit. Its total energy is -24.1 eV for the cell shown. Its density of states at the Fermi level is 0.988 states/eV per atom.



The following is a PBEsol calculation of a relaxed Ca2TaRu crystal, from the Alexandria database.

The space group is P4mm (No. 99) and the conventional cell measures 3.287, 3.287 and 9.020 Å, with angles of 90.00, 90.00 and 90.00 degrees. Symmetry generates all atoms from Ca at (0.000, 0.000, 0.000), Ca at (0.500, 0.500, 0.376), Ta at (0.500, 0.500, 0.734) and Ru at (0.000, 0.000, 0.609).

The energy above the most stable polymorph in this dataset comes out at 0.000 eV/f.u. The calculation puts the calculated formation energy at 0.5 eV per formula unit. Its total energy is -26.5 eV for the cell shown. Its density of states at the Fermi level is 1.304 states/eV per atom.



The following is a PBEsol calculation of a relaxed Ca2TaRu crystal, from the Alexandria database.

The space group is P4/mmm (No. 123) and the conventional cell measures 3.903, 3.903 and 5.151 Å, with angles of 90.00, 90.00 and 90.00 degrees. Symmetry generates all atoms from Ca at (0.000, 0.500, 0.000), Ta at (0.000, 0.000, 0.500) and Ru at (0.500, 0.500, 0.500).

The energy above the most stable polymorph in this dataset comes out at 1.756 eV/f.u. The calculation puts the calculated formation energy at 2.2 eV per formula unit. Its total energy is -24.7 eV for the cell shown. Its density of states at the Fermi level is 0.627 states/eV per atom.



The following is a PBEsol calculation of a relaxed CaTa2Ru crystal, from the Alexandria database.

The space group is Imm2 (No. 44) and the conventional cell measures 3.133, 4.887 and 9.479 Å, with angles of 90.00, 90.00 and 90.00 degrees. Symmetry generates all atoms from Ca at (0.000, 0.000, 0.000), Ta at (0.000, 0.000, 0.542), Ta at (0.000, 0.500, 0.779) and Ru at (0.000, 0.500, 0.252).

The energy above the most stable polymorph in this dataset comes out at 0.000 eV/f.u. The calculation puts the calculated formation energy at 1.6 eV per formula unit. Its total energy is -71.6 eV for the cell shown. Its density of states at the Fermi level is 0.913 states/eV per atom.



The following is a PBEsol calculation of a relaxed CaTcRu crystal, from the Alexandria database.

The space group is I4mm (No. 107) and the conventional cell measures 3.034, 3.034 and 11.824 Å, with angles of 90.00, 90.00 and 90.00 degrees. Symmetry generates all atoms from Ca at (0.000, 0.000, 0.000), Tc at (0.000, 0.000, 0.301) and Ru at (0.000, 0.000, 0.695).

The calculation puts the calculated formation energy at 1.0 eV per formula unit. Its total energy is -45.1 eV for the cell shown. Its density of states at the Fermi level is 1.323 states/eV per atom.



The following is a PBEsol calculation of a relaxed CaTeRu2 crystal, from the Alexandria database.

The space group is P2/m (No. 10) and the conventional cell measures 3.073, 4.201 and 5.969 Å, with angles of 90.00, 103.65 and 90.00 degrees. Symmetry generates all atoms from Ca at (0.000, 0.000, 0.000), Te at (0.500, 0.000, 0.500) and Ru at (0.342, 0.500, 0.708).

Its total energy is -24.6 eV for the cell shown. Its density of states at the Fermi level is 0.613 states/eV per atom. For the raw formation energy, the calculation gives 0.341 eV per atom.



The following is a PBEsol calculation of a relaxed CaTeRu2 crystal, from the Alexandria database.

The space group is C2/m (No. 12) and the conventional cell measures 7.726, 4.461 and 5.625 Å, with angles of 90.00, 117.09 and 90.00 degrees. Symmetry generates all atoms from Ca at (0.000, 0.000, 0.000), Te at (0.000, 0.500, 0.500) and Ru at (0.193, 0.000, 0.580).

Its total energy is -51.0 eV for the cell shown. Its density of states at the Fermi level is 1.310 states/eV per atom. For the raw formation energy, the calculation gives 0.126 eV per atom.



The following is a PBEsol calculation of a relaxed CaTiRu3 crystal, from the Alexandria database.

The space group is Pm-3m (No. 221) and the conventional cell measures 4.460, 4.460 and 4.460 Å, with angles of 90.00, 90.00 and 90.00 degrees. Symmetry generates all atoms from Ca at (0.000, 0.000, 0.000), Ti at (0.500, 0.500, 0.500) and Ru at (0.000, 0.000, 0.500).

The calculation puts the calculated formation energy at 10.3 eV per formula unit. Its total energy is -30.6 eV for the cell shown. Its density of states at the Fermi level is 1.213 states/eV per atom.